#A
DFT (PBE) results for MgSnW after structural relaxation.

Structure (POSCAR):
```
MgSnW
1.0
0.0000 3.2348 3.2348
3.2348 0.0000 3.2348
3.2348 3.2348 0.0000
Mg W Sn
1 1 1
Cartesian
1.6174 1.6174 1.6174
4.8523 4.8523 4.8523
0.0000 0.0000 0.0000
```

Calculated values
- Symmetry: F-43m (216)
- Magnetization: 0.524 μB per atom

***

#B
DFT (PBE) results for MgSnW after structural relaxation.

Structure (POSCAR):
```
MgSnW
1.0
2.8135 -3.4861 1.1480
-0.0113 -1.6544 4.3185
-1.7479 -4.1932 0.8651
Sn Mg W
1 1 1
Cartesian
0.7907 -7.0003 4.7487
0.2636 -2.3334 1.5829
0.0000 0.0000 0.0000
```

Calculated values
- Symmetry: F-43m (216)
- Magnetization: 0.688 μB per atom

***

In kJ/mol of atoms, relative to the most stable structure: #A 6.6; #B 0.0.

***

#A
DFT (PBE) results for Mg2Ta after structural relaxation.

Structure (POSCAR):
```
Mg2Ta
1.0
1.4750 8.2107 7.9277
3.1911 9.9640 3.2488
-4.7175 1.7706 1.5876
Ta Mg
4 8
Cartesian
1.1681 7.0508 4.3978
3.4851 16.1101 9.9697
-3.5366 3.8351 2.7944
-1.1938 2.9218 1.9842
-1.0966 4.9892 4.2466
0.6511 11.1558 7.0737
-0.7154 13.7757 8.8814
-0.7025 8.7894 5.6904
-2.1588 9.9783 8.4596
0.6383 16.1421 10.2647
1.0709 4.9834 2.1354
2.1073 9.9669 4.3044
```

Calculated values
- Symmetry: Fddd (70)
- Magnetization: 0.004 μB per atom

***

#B
DFT (PBE) results for Mg2Ta after structural relaxation.

Structure (POSCAR):
```
Mg2Ta
1.0
7.8305 0.0000 0.0000
0.0000 7.8305 0.0000
0.0000 0.0000 2.6663
Mg Ta
4 2
Cartesian
2.0332 2.0332 0.0000
5.7973 5.7973 0.0000
5.9485 1.8820 1.3331
1.8820 5.9485 1.3331
3.9153 3.9153 1.3331
0.0000 0.0000 0.0000
```

Calculated values
- Symmetry: P4_2/mnm (136)
- Magnetization: 0.002 μB per atom

***

In kJ/mol of atoms, relative to the most stable structure: #A 0.0; #B 30.3.

***

#A
DFT (PBE) results for MgZrTaTc after structural relaxation.

Structure (POSCAR):
```
MgZrTaTc
1.0
3.2907 0.2371 3.3198
-1.1051 1.5210 4.2862
-0.0839 -2.9942 3.5963
Ta Tc Mg Zr
1 1 1 1
Cartesian
1.0509 -0.6181 5.6011
0.5254 -0.3090 2.8006
1.5763 -0.9271 8.4017
0.0000 0.0000 0.0000
```

Calculated values
- Symmetry: F-43m (216)
- Magnetization: 0.000 μB per atom

***

#B
DFT (PBE) results for MgZrTaTc after structural relaxation.

Structure (POSCAR):
```
MgZrTaTc
1.0
0.0000 3.3017 3.3017
3.3017 0.0000 3.3017
3.3017 3.3017 0.0000
Ta Zr Tc Mg
1 1 1 1
Cartesian
1.6509 1.6509 1.6509
0.0000 0.0000 0.0000
3.3017 3.3017 3.3017
4.9526 4.9526 4.9526
```

Calculated values
- Symmetry: F-43m (216)
- Magnetization: 0.000 μB per atom

***

In kJ/mol of atoms, relative to the most stable structure: #A 0.0; #B 9.3.

***

#A
DFT (PBE) results for TmMgTa after structural relaxation.

Structure (POSCAR):
```
TmMgTa
1.0
-3.7917 -2.4607 1.4430
-3.4642 -1.0381 -3.0718
-0.6191 -4.4738 -1.4547
Mg Ta Tm
1 1 1
Cartesian
0.0000 0.0000 0.0000
-1.9687 -1.9932 -0.7709
-5.9062 -5.9795 -2.3126
```

Calculated values
- Symmetry: F-43m (216)
- Magnetization: 0.025 μB per atom

***

#B
DFT (PBE) results for TmMgTa after structural relaxation.

Structure (POSCAR):
```
TmMgTa
1.0
0.0000 3.4608 3.4608
3.4608 0.0000 3.4608
3.4608 3.4608 0.0000
Mg Tm Ta
1 1 1
Cartesian
1.7304 1.7304 1.7304
0.0000 0.0000 0.0000
5.1911 5.1911 5.1911
```

Calculated values
- Symmetry: F-43m (216)
- Magnetization: 0.572 μB per atom

***

In kJ/mol of atoms, relative to the most stable structure: #A 0.0; #B 32.7.

***

#A
DFT (PBE) results for Tb2Mg after structural relaxation.

Structure (POSCAR):
```
Tb2Mg
1.0
3.4959 0.0000 0.0000
-1.7479 3.0275 0.0000
0.0000 0.0000 16.8182
Tb Mg
4 2
Cartesian
1.7479 1.0092 8.5472
0.0000 0.0000 5.6630
1.7479 1.0092 2.7461
0.0000 0.0000 16.6801
0.0000 0.0000 11.3432
1.7479 1.0092 13.8842
```

Calculated values
- Symmetry: P-3m1 (164)
- Magnetization: 0.088 μB per atom

***

#B
DFT (PBE) results for Tb2Mg after structural relaxation.

Structure (POSCAR):
```
Tb2Mg
1.0
-0.0097 2.7812 9.0299
6.9106 -2.7875 5.8092
6.4242 6.2302 3.0312
Tb Mg
4 2
Cartesian
8.4522 0.9402 9.6060
4.9921 3.7246 11.2163
8.2090 5.4491 8.2170
4.9969 2.3340 6.7014
3.3313 1.5560 4.4676
6.6626 3.1120 8.9352
```

Calculated values
- Symmetry: Fd-3m (227)
- Magnetization: 0.124 μB per atom

***

In kJ/mol of atoms, relative to the most stable structure: #A 0.0; #B 194.9.

***

#A
DFT (PBE) results for TbYMg after structural relaxation.

Structure (POSCAR):
```
TbYMg
1.0
3.7099 0.0000 0.0000
0.0000 5.4580 0.0000
-1.8553 0.0000 8.5791
Mg Tb Y
2 2 2
Cartesian
-0.9317 1.3645 5.4381
2.7864 4.0935 3.1410
0.9279 4.0935 0.3896
0.9268 1.3645 8.1894
0.9296 1.3645 2.7328
0.9251 4.0935 5.8462
```

Calculated values
- Symmetry: P2_1/m (11)
- Magnetization: 0.004 μB per atom

***

#B
DFT (PBE) results for TbYMg after structural relaxation.

Structure (POSCAR):
```
TbYMg
1.0
1.4872 -5.0001 0.4888
1.3035 -1.8973 4.7067
-3.1377 -3.4440 2.3969
Y Mg Tb
1 1 1
Cartesian
-0.2602 -7.7561 5.6943
0.0000 0.0000 0.0000
-0.0867 -2.5854 1.8981
```

Calculated values
- Symmetry: F-43m (216)
- Magnetization: 0.142 μB per atom

***

In kJ/mol of atoms, relative to the most stable structure: #A 0.0; #B 46.9.

***

#A
DFT (PBE) results for Mg4Tc3 after structural relaxation.

Structure (POSCAR):
```
Mg4Tc3
1.0
5.1126 5.9046 0.0000
-2.5562 7.3807 0.0000
0.0000 0.0000 4.6740
Mg Tc
8 6
Cartesian
4.1203 7.3401 2.3370
1.7046 11.8092 2.3370
2.5215 10.1912 0.0000
-0.8167 4.5700 2.3370
-0.0001 2.9521 0.0000
-2.4160 7.4216 0.0000
1.8095 2.8502 2.3370
2.4508 4.5297 0.0000
0.0784 6.1264 0.0000
1.5528 6.0845 2.3370
2.3252 7.3380 0.0000
0.1530 8.6779 0.0000
1.6242 8.6357 2.3370
-0.6214 7.4214 2.3370
```

Calculated values
- Symmetry: P6_3/m (176)
- Magnetization: 0.107 μB per atom

***

#B
DFT (PBE) results for Mg4Tc3 after structural relaxation.

Structure (POSCAR):
```
Mg4Tc3
1.0
-0.1030 -7.4373 2.2127
5.9498 -3.2044 4.5822
-2.2403 1.1320 3.7006
Tc Mg
6 8
Cartesian
3.1335 -4.2171 5.8885
-0.6215 -2.1956 2.9969
3.9088 -3.5375 3.4485
1.7139 -2.3547 1.7579
3.2727 -6.6240 6.7091
3.6670 -8.5683 4.8410
0.7907 -7.2476 5.3973
0.6927 -4.2746 4.4285
5.1080 -5.8354 4.8774
0.1986 -4.7399 1.5702
0.3994 -0.2755 0.3261
2.7963 -6.1394 3.5709
1.9343 -1.9192 4.4596
4.1428 -9.0526 7.9788
```

Calculated values
- Symmetry: Cmcm (63)
- Magnetization: 0.001 μB per atom

***

In kJ/mol of atoms, relative to the most stable structure: #A 6.4; #B 0.0.

***

#A
DFT (PBE) results for MgUTe after structural relaxation.

Structure (POSCAR):
```
MgUTe
1.0
3.7340 0.3218 3.3090
-0.0081 -2.9053 4.0688
3.3018 -3.7313 0.4139
Mg U Te
1 1 1
Cartesian
1.7569 -1.5787 1.9479
5.2708 -4.7361 5.8437
0.0000 0.0000 0.0000
```

Calculated values
- Symmetry: F-43m (216)
- Magnetization: 1.204 μB per atom

***

#B
DFT (PBE) results for MgUTe after structural relaxation.

Structure (POSCAR):
```
MgUTe
1.0
0.0000 3.6409 3.6409
3.6409 0.0000 3.6409
3.6409 3.6409 0.0000
U Mg Te
1 1 1
Cartesian
0.0000 0.0000 0.0000
1.8205 1.8205 1.8205
5.4614 5.4614 5.4614
```

Calculated values
- Symmetry: F-43m (216)
- Magnetization: 1.320 μB per atom

***

In kJ/mol of atoms, relative to the most stable structure: #A 0.0; #B 2.8.